Cd7Pd2Rh2: optimized geometry, PBE.

Cell: 5.7524 5.7524 7.6966 Å, 90.00 90.00 119.19°
Atoms (fractional coordinates):
1 Cd 0.0000 0.0000 0.0000
2 Cd 0.0000 0.5000 0.3100
3 Cd 0.0000 0.5000 0.6900
4 Cd 0.5000 0.0000 0.3100
5 Cd 0.5000 0.0000 0.6900
6 Cd 0.5000 0.5000 0.1975
7 Cd 0.5000 0.5000 0.8025
8 Pd 0.2342 0.2342 0.5000
9 Pd 0.7658 0.7658 0.5000
10 Rh 0.2716 0.7284 0.0000
11 Rh 0.7284 0.2716 0.0000

Results
- Uncorrected energy: -31.638 eV for the cell shown
- Space-group type: Cmmm
- ΔE_f: -13 meV per atom